Below is crystalline Cs2MnCu2Te4 at its relaxed geometry, with properties calculated at the PBE level.

The density of states at the Fermi level comes out at 4.99 states/eV/f.u. The calculation puts the total energy at -4.002 eV per atom. The calculation puts the uncorrected formation energy at -487 meV per atom.

It has space group P-1 (No. 2), with a = 4.049 Å, b = 7.495 Å, c = 10.834 Å, α = 71.20°, β = 79.23° and γ = 74.42°. The inequivalent atoms are Cs at (0.173, 0.322, 0.331), Mn at (0.500, 0.000, 0.000), Cu at (0.041, 0.106, 0.815), Te at (0.134, 0.752, 0.978) and Te at (0.437, 0.787, 0.336).

---

Below is crystalline HgRu at its relaxed geometry, with properties calculated at the PBE level.

The density of states at the Fermi level comes out at 2.24 states/eV/f.u. The calculation puts the total energy at -4.193 eV per atom. As for the formation energy: 1.2 eV per formula unit.

It has space group Imma (No. 74), with a = 2.884 Å, b = 4.857 Å, c = 10.308 Å, α = 90.00°, β = 90.00° and γ = 90.00°. The inequivalent atoms are Hg at (0.000, 0.250, 0.108) and Ru at (0.000, 0.250, 0.650).

---

Below is crystalline In2GePd6 at its relaxed geometry, with properties calculated at the PBE level.

The density of states at the Fermi level comes out at 2.33 states/eV/f.u. The calculation puts the total energy at -4.947 eV per atom. As for the formation energy: -3.3 eV per formula unit.

It has space group C2/m (No. 12), with a = 12.929 Å, b = 6.896 Å, c = 3.993 Å, α = 90.00°, β = 107.88° and γ = 90.00°. The inequivalent atoms are In at (0.151, 0.000, 0.151), Ge at (0.000, 0.500, 0.500), Pd at (0.000, 0.287, 0.000) and Pd at (0.166, 0.278, 0.666).